DFT (GGA-PBE) results for a relaxed structure of Ca3AgSn.

The space group is P2_1/c (No. 14) and the conventional cell measures 9.392, 8.216 and 9.297 Å, with angles of 90.00, 119.61 and 90.00 degrees. The asymmetric unit holds Ca at (0.002, 0.001, 0.206), Ca at (0.279, 0.133, 0.643), Ca at (0.392, 0.748, 0.944), Ag at (0.349, 0.006, 0.171) and Sn at (0.113, 0.707, 0.056).

The calculation puts the uncorrected energy at -2.97 eV/atom. The value obtained for the formation energy is -0.397 eV per atom. Its energy above the most stable polymorph in this dataset is 38 meV per atom.